Entry 1:
PBE KLiOs, relaxed; raw total energy = -3.886 eV per atom; DOS at the Fermi energy = 0.5907 states/eV/atom; total magnetic moment = 0.0000 μB per atom; space group = No. 1; relative energy among the computed polymorphs = 0.221 eV/atom
1.0
2.7139 0.0000 0.0000
-0.7595 2.6055 0.0000
-0.8252 -1.2087 8.3076
K Li Os
1 1 1
direct
0.0000 0.0000 0.0000 K
0.7497 0.7318 0.4204 Li
0.3570 0.3474 0.6704 Os

---

Entry 2:
PBE BaMoPb2, relaxed; raw total energy = -4.614 eV per atom; DOS at the Fermi energy = 0.6059 states/eV/atom; total magnetic moment = 0.0001 μB per atom; space group = No. 166; relative energy among the computed polymorphs = 0.185 eV/atom
1.0
1.7768 1.0258 10.2500
-1.7768 1.0258 10.2500
0.0000 -2.0516 10.2500
Ba Mo Pb
1 1 2
direct
0.0000 0.0000 0.0000 Ba
0.5000 0.5000 0.5000 Mo
0.2344 0.2344 0.2344 Pb
0.7656 0.7656 0.7656 Pb

---

Entry 3:
PBE ThNp2PaP4, relaxed; raw total energy = -9.191 eV per atom; DOS at the Fermi energy = 2.8937 states/eV/atom; total magnetic moment = 0.0497 μB per atom; space group = No. 10
1.0
6.9143 0.0000 0.0000
0.0000 4.0213 0.0000
-2.3465 0.0000 6.5662
Th Np Pa P
1 2 1 4
direct
0.0000 0.0000 0.0000 Th
0.5000 0.0000 0.5000 Np
0.5000 0.5000 0.0000 Np
0.0000 0.5000 0.5000 Pa
0.2541 0.0000 0.7455 P
0.2595 0.5000 0.2610 P
0.7405 0.5000 0.7390 P
0.7459 0.0000 0.2545 P